Version 1
VASP calculation (PBE) on crystalline Sr2La2W at its relaxed geometry.

Summary:
spin magnetization = 0.00 μB/f.u.
density = 5.66 g/cm3

Cell lengths 7.550, 7.550, 6.555 Å; angles 90.00, 90.00, 90.00 degrees
Sites, in units of the cell vectors:
La1 0.327 0.827 0.000
La2 0.673 0.173 0.000
La3 0.827 0.673 0.000
La4 0.173 0.327 0.000
Sr1 0.312 0.188 0.500
Sr2 0.688 0.812 0.500
Sr3 0.812 0.312 0.500
Sr4 0.188 0.688 0.500
W1 0.000 0.000 0.000
W2 0.500 0.500 0.000

=====

Version 2
VASP calculation (PBE) on crystalline Sr2La2W at its relaxed geometry.

Summary:
spin magnetization = 1.93 μB/f.u.
density = 5.82 g/cm3

Cell lengths 4.334, 4.334, 10.151 Å; angles 77.68, 77.68, 90.00 degrees
Sites, in units of the cell vectors:
W1 0.000 0.000 0.000
La1 0.578 0.578 0.844
La2 0.422 0.422 0.156
Sr1 0.250 0.750 0.500
Sr2 0.750 0.250 0.500

=====

The winner here is version 1, beating the second structure by 52.6 kJ/mol of atoms.

=====

Version 1
VASP calculation (PBE) on crystalline SrLaY2 at its relaxed geometry.

Summary:
spin magnetization = 0.00 μB/f.u.
density = 4.48 g/cm3

Cell lengths 5.961, 5.961, 5.961 Å; angles 60.00, 60.00, 60.00 degrees
Sites, in units of the cell vectors:
La1 0.500 0.500 0.500
Sr1 0.000 0.000 0.000
Y1 0.750 0.750 0.750
Y2 0.250 0.250 0.250

=====

Version 2
VASP calculation (PBE) on crystalline SrLaY2 at its relaxed geometry.

Summary:
spin magnetization = 0.00 μB/f.u.
density = 4.53 g/cm3

Cell lengths 6.490, 6.490, 3.731 Å; angles 90.00, 90.00, 109.29 degrees
Sites, in units of the cell vectors:
Y1 0.500 0.500 0.000
Y2 0.000 0.000 0.000
La1 0.500 0.000 0.500
Sr1 0.000 0.500 0.500

=====

Version 3
VASP calculation (PBE) on crystalline SrLaY2 at its relaxed geometry.

Summary:
spin magnetization = 0.02 μB/f.u.
density = 4.44 g/cm3

Cell lengths 3.742, 3.742, 10.804 Å; angles 90.00, 90.00, 90.00 degrees
Sites, in units of the cell vectors:
La1 0.000 0.000 0.473
Y1 0.000 0.000 0.027
Y2 0.500 0.500 0.244
Sr1 0.500 0.500 0.757

=====

Version 4
VASP calculation (PBE) on crystalline SrLaY2 at its relaxed geometry.

Summary:
spin magnetization = 1.12 μB/f.u.
density = 4.39 g/cm3

Cell lengths 4.947, 4.947, 12.976 Å; angles 79.01, 79.01, 90.00 degrees
Sites, in units of the cell vectors:
La1 0.750 0.250 0.500
La2 0.000 0.000 0.000
Y1 0.375 0.364 0.750
Y2 0.875 0.886 0.750
Y3 0.114 0.625 0.250
Y4 0.636 0.125 0.250
Sr1 0.250 0.750 0.500
Sr2 0.500 0.500 0.000

=====

The winner here is version 3, beating the second structure by 5.1 kJ/mol of atoms.

=====

Version 1
VASP calculation (PBE) on crystalline SrLaY2 at its relaxed geometry.

Summary:
spin magnetization = 0.00 μB/f.u.
density = 4.43 g/cm3

Cell lengths 3.636, 3.636, 12.247 Å; angles 90.00, 90.00, 110.45 degrees
Sites, in units of the cell vectors:
Y1 0.000 0.000 0.022
Y2 0.500 0.500 0.243
Sr1 0.500 0.500 0.759
La1 0.000 0.000 0.477

=====

Version 2
VASP calculation (PBE) on crystalline SrLaY2 at its relaxed geometry.

Summary:
spin magnetization = 0.02 μB/f.u.
density = 4.44 g/cm3

Cell lengths 7.187, 7.187, 7.187 Å; angles 147.78, 129.48, 61.20 degrees
Sites, in units of the cell vectors:
La1 0.483 0.483 0.000
Y1 0.015 0.015 0.000
Y2 0.242 0.742 0.500
Sr1 0.760 0.260 0.500

=====

The winner here is version 1, beating the second structure by 2.8 kJ/mol of atoms.

=====

Version 1
VASP calculation (PBE) on crystalline SrLa2Y at its relaxed geometry.

Summary:
spin magnetization = 0.00 μB/f.u.
density = 4.88 g/cm3

Cell lengths 6.560, 6.560, 6.560 Å; angles 131.60, 131.60, 70.86 degrees
Sites, in units of the cell vectors:
La1 0.250 0.750 0.500
La2 0.000 0.000 0.000
Sr1 0.500 0.500 0.000
Y1 0.750 0.250 0.500

=====

Version 2
VASP calculation (PBE) on crystalline SrLa2Y at its relaxed geometry.

Summary:
spin magnetization = 1.06 μB/f.u.
density = 4.82 g/cm3

Cell lengths 6.051, 6.051, 6.051 Å; angles 60.00, 60.00, 60.00 degrees
Sites, in units of the cell vectors:
Y1 0.750 0.750 0.750
La1 0.000 0.000 0.000
La2 0.250 0.250 0.250
Sr1 0.500 0.500 0.500

=====

The winner here is version 1, beating the second structure by 4.9 kJ/mol of atoms.

=====

Version 1
VASP calculation (PBE) on crystalline SrLa2Y at its relaxed geometry.

Summary:
spin magnetization = 0.00 μB/f.u.
density = 4.81 g/cm3

Cell lengths 7.214, 7.214, 7.214 Å; angles 147.15, 128.98, 62.02 degrees
Sites, in units of the cell vectors:
La1 0.755 0.255 0.500
La2 0.012 0.012 0.000
Sr1 0.489 0.489 0.000
Y1 0.244 0.744 0.500

=====

Version 2
VASP calculation (PBE) on crystalline SrLa2Y at its relaxed geometry.

Summary:
spin magnetization = 0.00 μB/f.u.
density = 4.78 g/cm3

Cell lengths 3.865, 4.969, 8.218 Å; angles 90.00, 90.00, 90.00 degrees
Sites, in units of the cell vectors:
La1 0.000 0.000 0.537
La2 0.000 0.000 0.963
Sr1 0.500 0.500 0.250
Y1 0.500 0.500 0.750

=====

Version 3
VASP calculation (PBE) on crystalline SrLa2Y at its relaxed geometry.

Summary:
spin magnetization = 0.00 μB/f.u.
density = 4.79 g/cm3

Cell lengths 7.350, 7.350, 7.350 Å; angles 148.72, 129.65, 60.48 degrees
Sites, in units of the cell vectors:
Sr1 0.750 0.250 0.500
Y1 0.250 0.750 0.500
La1 0.022 0.022 0.000
La2 0.478 0.478 0.000

=====

The winner here is version 2, beating the second structure by 7.5 kJ/mol of atoms.

=====

Version 1
VASP calculation (PBE) on crystalline SrLa2Y2 at its relaxed geometry.

Summary:
spin magnetization = 0.00 μB/f.u.
density = 4.73 g/cm3

Cell lengths 9.927, 9.927, 3.867 Å; angles 90.00, 90.00, 90.00 degrees
Sites, in units of the cell vectors:
Y1 0.831 0.331 0.500
Y2 0.669 0.831 0.500
Y3 0.169 0.669 0.500
Y4 0.331 0.169 0.500
La1 0.373 0.873 0.000
La2 0.873 0.627 0.000
La3 0.627 0.127 0.000
La4 0.127 0.373 0.000
Sr1 0.000 0.000 0.000
Sr2 0.500 0.500 0.000

=====

Version 2
VASP calculation (PBE) on crystalline SrLa2Y2 at its relaxed geometry.

Summary:
spin magnetization = 0.00 μB/f.u.
density = 4.57 g/cm3

Cell lengths 4.858, 4.858, 9.036 Å; angles 74.41, 74.41, 90.00 degrees
Sites, in units of the cell vectors:
La1 0.750 0.250 0.500
La2 0.250 0.750 0.500
Sr1 0.000 0.000 0.000
Y1 0.599 0.599 0.802
Y2 0.401 0.401 0.198

=====

Version 3
VASP calculation (PBE) on crystalline SrLa2Y2 at its relaxed geometry.

Summary:
spin magnetization = 0.00 μB/f.u.
density = 4.73 g/cm3

Cell lengths 10.122, 10.122, 3.724 Å; angles 90.00, 90.00, 90.00 degrees
Sites, in units of the cell vectors:
Sr1 0.000 0.000 0.000
Sr2 0.500 0.500 0.000
Y1 0.619 0.119 0.000
Y2 0.119 0.381 0.000
Y3 0.881 0.619 0.000
Y4 0.381 0.881 0.000
La1 0.824 0.324 0.500
La2 0.676 0.824 0.500
La3 0.176 0.676 0.500
La4 0.324 0.176 0.500

=====

The winner here is version 3, beating the second structure by 2.3 kJ/mol of atoms.